Below is crystalline NaCr2O at its relaxed geometry, with properties calculated at the PBE+U level.

Calculated values
crystal system: tetragonal
total energy: -5.7947 eV/atom
total magnetization: 17.78 μB/cell

Cell lengths 6.5083, 6.5083, 6.5083 Å; angles 120.16, 120.16, 89.73 degrees
With the nearest neighbours (Å) after each atom.
Atoms (fractional coordinates):
Na: 0.3750 0.6250 0.7500  12 Cr 3.81-3.82, 4 O 3.98, 4 Na 3.98
Na: 0.6250 0.3750 0.2500  12 Cr 3.81-3.82, 4 O 3.98, 4 Na 3.98
Cr: 0.0000 0.0000 0.0000  2 O 1.99
Cr: 0.0000 0.0000 0.5000  2 O 1.99
Cr: 0.0000 0.5000 0.0000  2 O 1.99
Cr: 0.5000 0.0000 0.5000  2 O 1.99
O: 0.1250 0.8750 0.2500  4 Cr 1.99
O: 0.8750 0.1250 0.7500  4 Cr 1.99